No. 1
PBE Pa2ZnFeGe, optimized geometry; uncorrected energy = -6.906 eV/atom; calculated formation energy = -0.237 eV per atom
1.0
5.791 0.000 0.000
0.000 4.067 0.000
-0.635 0.000 8.210
Pa Zn Fe Ge
4 2 2 2
Direct
0.167 0.250 0.453
0.240 0.250 0.016
0.760 0.750 0.984
0.833 0.750 0.547
0.291 0.750 0.737
0.709 0.250 0.263
0.013 0.250 0.796
0.987 0.750 0.204
0.420 0.750 0.266
0.580 0.250 0.734

=====

No. 2
PBE FeGe2Pb, optimized geometry; uncorrected energy = -4.959 eV/atom; calculated formation energy = 0.393 eV per atom
1.0
-2.537 2.537 7.285
2.537 -2.537 7.285
2.537 2.537 -7.285
Fe Ge Pb
2 4 2
Direct
0.000 0.000 0.000
0.750 0.250 0.500
0.375 0.226 0.351
0.774 0.125 0.149
0.875 0.024 0.649
0.976 0.625 0.851
0.250 0.750 0.500
0.500 0.500 0.000

=====

No. 3
PBE FeGe3Pb, optimized geometry; uncorrected energy = -4.958 eV/atom; calculated formation energy = 0.247 eV per atom
1.0
4.676 0.000 0.000
0.000 4.676 0.000
0.000 0.000 4.676
Fe Ge Pb
1 3 1
Direct
0.000 0.000 0.000
0.000 0.000 0.500
0.000 0.500 0.000
0.500 0.000 0.000
0.500 0.500 0.500

=====

No. 4
PBE FeGePb3, optimized geometry; uncorrected energy = -3.785 eV/atom; calculated formation energy = 1.056 eV per atom
1.0
5.496 0.000 0.000
0.000 5.496 0.000
0.000 0.000 5.496
Fe Ge Pb
1 1 3
Direct
0.000 0.000 0.000
0.500 0.500 0.500
0.000 0.500 0.500
0.500 0.000 0.500
0.500 0.500 0.000

=====

No. 5
PBE FeGePb2, optimized geometry; uncorrected energy = -4.459 eV/atom; calculated formation energy = 0.665 eV per atom
1.0
-2.213 2.213 10.071
2.213 -2.213 10.071
2.213 2.213 -10.071
Fe Ge Pb
2 2 4
Direct
0.000 0.000 0.000
0.750 0.250 0.500
0.250 0.750 0.500
0.500 0.500 0.000
0.118 0.625 0.993
0.375 0.368 0.493
0.632 0.125 0.007
0.875 0.882 0.507

=====

No. 6
PBE Fe3GePb, optimized geometry; uncorrected energy = -6.030 eV/atom; calculated formation energy = 0.712 eV per atom
1.0
4.500 0.000 0.000
0.000 4.500 0.000
0.000 0.000 4.500
Fe Ge Pb
3 1 1
Direct
0.000 0.000 0.500
0.000 0.500 0.000
0.500 0.000 0.000
0.000 0.000 0.000
0.500 0.500 0.500

=====

No. 7
PBE FeGePb3, optimized geometry; uncorrected energy = -4.360 eV/atom; calculated formation energy = 0.481 eV per atom
1.0
5.133 0.000 0.000
0.000 5.133 0.000
0.000 0.000 5.133
Fe Ge Pb
1 1 3
Direct
0.000 0.000 0.000
0.500 0.500 0.500
0.000 0.000 0.500
0.000 0.500 0.000
0.500 0.000 0.000

=====

No. 8
PBE Fe3GePb, optimized geometry; uncorrected energy = -5.100 eV/atom; calculated formation energy = 1.642 eV per atom
1.0
4.888 0.000 0.000
0.000 4.888 0.000
0.000 0.000 4.888
Fe Ge Pb
3 1 1
Direct
0.000 0.000 0.500
0.000 0.500 0.000
0.500 0.000 0.000
0.500 0.500 0.500
0.000 0.000 0.000

=====

No. 9
PBE FeGe2Pb2, optimized geometry; uncorrected energy = -4.699 eV/atom; calculated formation energy = 0.324 eV per atom
1.0
6.436 0.000 0.000
0.000 6.436 0.000
0.000 0.000 5.231
Fe Ge Pb
2 4 4
Direct
0.000 0.000 0.000
0.500 0.500 0.000
0.156 0.344 0.000
0.344 0.844 0.000
0.656 0.156 0.000
0.844 0.656 0.000
0.179 0.679 0.500
0.321 0.179 0.500
0.679 0.821 0.500
0.821 0.321 0.500

=====

No. 10
PBE Fe2GePb2, optimized geometry; uncorrected energy = -5.312 eV/atom; calculated formation energy = 0.480 eV per atom
1.0
-1.721 1.721 8.898
1.721 -1.721 8.898
1.721 1.721 -8.898
Fe Ge Pb
2 1 2
Direct
0.250 0.750 0.500
0.750 0.250 0.500
0.000 0.000 0.000
0.381 0.381 0.000
0.619 0.619 0.000

=====

No. 11
PBE Fe2GePb2, optimized geometry; uncorrected energy = -5.148 eV/atom; calculated formation energy = 0.644 eV per atom
1.0
8.332 0.000 0.000
0.000 8.332 0.000
0.000 0.000 3.035
Fe Ge Pb
4 2 4
Direct
0.102 0.398 0.000
0.398 0.898 0.000
0.602 0.102 0.000
0.898 0.602 0.000
0.000 0.000 0.500
0.500 0.500 0.500
0.186 0.686 0.500
0.314 0.186 0.500
0.686 0.814 0.500
0.814 0.314 0.500

=====

No. 12
PBE FeGePt2Pb, optimized geometry; uncorrected energy = -4.487 eV/atom; calculated formation energy = 1.287 eV per atom
1.0
5.110 0.000 0.000
0.000 5.110 0.000
0.000 0.000 4.864
Fe Ge Pt Pb
1 1 2 1
Direct
0.000 0.000 0.000
0.500 0.500 0.000
0.000 0.500 0.500
0.500 0.000 0.500
0.000 0.000 0.500

=====

No. 13
PBE TlFeGe2Pb, optimized geometry; uncorrected energy = -3.651 eV/atom; calculated formation energy = 1.104 eV per atom
1.0
5.535 0.000 0.000
0.000 5.535 0.000
0.000 0.000 5.025
Tl Fe Ge Pb
1 1 2 1
Direct
0.000 0.000 0.000
0.500 0.500 0.000
0.000 0.500 0.500
0.500 0.000 0.500
0.500 0.500 0.500

=====

No. 14
PBE FeGePd2, optimized geometry; uncorrected energy = -5.808 eV/atom; calculated formation energy = 0.058 eV per atom
1.0
-1.905 1.905 8.781
1.905 -1.905 8.781
1.905 1.905 -8.781
Fe Ge Pd
2 2 4
Direct
0.000 0.000 0.000
0.750 0.250 0.500
0.250 0.750 0.500
0.500 0.500 0.000
0.125 0.625 0.000
0.375 0.375 0.500
0.625 0.125 0.000
0.875 0.875 0.500

=====

No. 15
PBE Fe2GePd, optimized geometry; uncorrected energy = -5.759 eV/atom; calculated formation energy = 0.925 eV per atom
1.0
-2.780 2.780 5.493
2.780 -2.780 5.493
2.780 2.780 -5.493
Fe Ge Pd
4 2 2
Direct
0.120 0.625 0.995
0.375 0.370 0.495
0.630 0.125 0.005
0.875 0.880 0.505
0.000 0.000 0.000
0.750 0.250 0.500
0.250 0.750 0.500
0.500 0.500 0.000

=====

No. 16
PBE Fe3GePd, optimized geometry; uncorrected energy = -5.859 eV/atom; calculated formation energy = 1.181 eV per atom
1.0
4.622 0.000 0.000
0.000 4.622 0.000
0.000 0.000 4.622
Fe Ge Pd
3 1 1
Direct
0.000 0.000 0.500
0.000 0.500 0.000
0.500 0.000 0.000
0.500 0.500 0.500
0.000 0.000 0.000

=====

No. 17
PBE FeGe3Pd, optimized geometry; uncorrected energy = -5.296 eV/atom; calculated formation energy = 0.206 eV per atom
1.0
4.477 0.000 0.000
0.000 4.477 0.000
0.000 0.000 4.477
Fe Ge Pd
1 3 1
Direct
0.000 0.000 0.000
0.000 0.000 0.500
0.000 0.500 0.000
0.500 0.000 0.000
0.500 0.500 0.500

=====

No. 18
PBE FeGe2Pd, optimized geometry; uncorrected energy = -5.578 eV/atom; calculated formation energy = 0.144 eV per atom
1.0
1.455 0.840 8.909
-1.455 0.840 8.909
0.000 -1.681 8.909
Fe Ge Pd
1 2 1
Direct
0.000 0.000 0.000
0.090 0.090 0.090
0.910 0.910 0.910
0.500 0.500 0.500

=====

No. 19
PBE Fe3GePd, optimized geometry; uncorrected energy = -6.162 eV/atom; calculated formation energy = 0.877 eV per atom
1.0
4.380 0.000 0.000
0.000 4.380 0.000
0.000 0.000 4.380
Fe Ge Pd
3 1 1
Direct
0.000 0.000 0.500
0.000 0.500 0.000
0.500 0.000 0.000
0.000 0.000 0.000
0.500 0.500 0.500

=====

No. 20
PBE FeGe2Pd, optimized geometry; uncorrected energy = -5.785 eV/atom; calculated formation energy = -0.062 eV per atom
1.0
2.914 0.000 0.000
0.000 2.914 0.000
0.000 0.000 6.599
Fe Ge Pd
1 2 1
Direct
0.000 0.000 0.000
0.500 0.500 0.222
0.500 0.500 0.778
0.000 0.000 0.500

=====

No. 21
PBE FeGe2Pd, optimized geometry; uncorrected energy = -5.745 eV/atom; calculated formation energy = -0.022 eV per atom
1.0
0.000 3.076 3.076
3.076 0.000 3.076
3.076 3.076 0.000
Fe Ge Pd
1 2 1
Direct
0.000 0.000 0.000
0.250 0.250 0.250
0.750 0.750 0.750
0.500 0.500 0.500

=====

No. 22
PBE FeGe2Pd, optimized geometry; uncorrected energy = -5.367 eV/atom; calculated formation energy = 0.356 eV per atom
1.0
-2.738 2.738 5.482
2.738 -2.738 5.482
2.738 2.738 -5.482
Fe Ge Pd
2 4 2
Direct
0.000 0.000 0.000
0.750 0.250 0.500
0.099 0.625 0.974
0.375 0.349 0.474
0.651 0.125 0.026
0.875 0.901 0.526
0.250 0.750 0.500
0.500 0.500 0.000

=====

No. 23
PBE FeGe2Pd, optimized geometry; uncorrected energy = -5.835 eV/atom; calculated formation energy = -0.112 eV per atom
1.0
1.485 0.857 7.603
-1.485 0.857 7.603
0.000 -1.715 7.603
Fe Ge Pd
1 2 1
Direct
0.000 0.000 0.000
0.409 0.409 0.409
0.589 0.589 0.589
0.163 0.163 0.163

=====

No. 24
PBE FeGePd6, optimized geometry; uncorrected energy = -5.629 eV/atom; calculated formation energy = -0.099 eV per atom
1.0
5.023 0.000 0.000
-0.234 5.023 0.000
-0.228 -0.257 5.020
Fe Ge Pd
1 1 6
Direct
0.000 0.000 0.000
0.500 0.500 0.500
0.069 0.436 0.750
0.250 0.931 0.564
0.437 0.750 0.069
0.563 0.250 0.931
0.750 0.069 0.436
0.931 0.564 0.250

=====

No. 25
PBE Pu2FeGe6Pd, optimized geometry; uncorrected energy = -6.958 eV/atom; calculated formation energy = 0.044 eV per atom
1.0
0.000 4.723 4.723
4.723 0.000 4.723
4.723 4.723 0.000
Pu Fe Ge Pd
2 1 6 1
Direct
0.250 0.250 0.250
0.750 0.750 0.750
0.000 0.000 0.000
0.242 0.242 0.758
0.242 0.758 0.242
0.242 0.758 0.758
0.758 0.242 0.242
0.758 0.242 0.758
0.758 0.758 0.242
0.500 0.500 0.500

=====

No. 26
PBE FeTcGePd, optimized geometry; uncorrected energy = -7.216 eV/atom; calculated formation energy = -0.056 eV per atom
1.0
0.000 3.047 3.047
3.047 0.000 3.047
3.047 3.047 0.000
Fe Tc Ge Pd
1 1 1 1
Direct
0.000 0.000 0.000
0.750 0.750 0.750
0.500 0.500 0.500
0.250 0.250 0.250

=====

No. 27
PBE Pm4FeGe2, optimized geometry; uncorrected energy = -5.499 eV/atom; calculated formation energy = -0.256 eV per atom
1.0
-2.423 2.423 8.088
2.423 -2.423 8.088
2.423 2.423 -8.088
Pm Fe Ge
4 1 2
Direct
0.000 0.500 0.500
0.180 0.180 0.000
0.500 0.000 0.500
0.820 0.820 0.000
0.000 0.000 0.000
0.363 0.363 0.000
0.637 0.637 0.000